# 1
A plane-wave DFT calculation with GGA-PBEsol was carried out for FeReS3 after structural relaxation.

The space group is Pm-3m (No. 221) and the conventional cell measures 4.217, 4.217 and 4.217 Å, with angles of 90.00, 90.00 and 90.00 degrees. The inequivalent atoms are Fe at (0.000, 0.000, 0.000), Re at (0.500, 0.500, 0.500) and S at (0.000, 0.000, 0.500).

Its total magnetization is 0.017 μB per atom. For the density of states at the Fermi level, the calculation gives 4.57 states/eV/cell. The calculation puts the uncorrected formation energy at 0.9637 eV per atom. As for the density: 7.491 g cm⁻³. For the total energy, the calculation gives -30.63 eV/f.u.


# 2
A plane-wave DFT calculation with GGA-PBEsol was carried out for AlPdPbS2 after structural relaxation.

The space group is P4/mmm (No. 123) and the conventional cell measures 4.883, 4.883 and 4.578 Å, with angles of 90.00, 90.00 and 90.00 degrees. The inequivalent atoms are Al at (0.000, 0.000, 0.000), Pd at (0.000, 0.000, 0.500), Pb at (0.500, 0.500, 0.000) and S at (0.000, 0.500, 0.500).

Its total magnetization is 0.000 μB per atom. For the density of states at the Fermi level, the calculation gives 1.96 states/eV/cell. The calculation puts the uncorrected formation energy at 0.0545 eV per atom. As for the density: 6.155 g cm⁻³. For the total energy, the calculation gives -22.54 eV/f.u.